P | Material: TlZnAu3
Method: DFT, PBE-GGA
State: optimized geometry

Unit cell a=4.9734 b=4.9734 c=4.9734 alpha=90.00 beta=90.00 gamma=90.00
Positions (direct):
1 Tl 0.0000 0.0000 0.0000
2 Zn 0.5000 0.5000 0.5000
3 Au 0.0000 0.5000 0.5000
4 Au 0.5000 0.0000 0.5000
5 Au 0.5000 0.5000 0.0000

Properties
As for the space group: Pm-3m.


Q | Material: TlZnAu3
Method: DFT, PBE-GGA
State: optimized geometry

Unit cell a=8.9689 b=5.4264 c=8.7498 alpha=90.00 beta=103.97 gamma=90.00
Positions (direct):
1 Tl 0.1200 0.1037 0.2076
2 Tl 0.1200 0.3963 0.7076
3 Tl 0.8800 0.6037 0.2924
4 Tl 0.8800 0.8963 0.7924
5 Zn 0.4293 0.6834 0.6319
6 Zn 0.4293 0.8166 0.1319
7 Zn 0.5707 0.1834 0.8681
8 Zn 0.5707 0.3166 0.3681
9 Au 0.1335 0.6504 0.0131
10 Au 0.1335 0.8496 0.5131
11 Au 0.2984 0.5544 0.3352
12 Au 0.2984 0.9456 0.8352
13 Au 0.3993 0.1770 0.5716
14 Au 0.3993 0.3230 0.0716
15 Au 0.6007 0.6770 0.9284
16 Au 0.6007 0.8230 0.4284
17 Au 0.7016 0.0544 0.1648
18 Au 0.7016 0.4456 0.6648
19 Au 0.8665 0.1504 0.4869
20 Au 0.8665 0.3496 0.9869

Properties
As for the space group: P2_1/c.


Result of the stability comparison: Q is the most stable of them.


P | Material: TlZnAu3
Method: DFT, PBE-GGA
State: optimized geometry

Unit cell a=5.3228 b=5.3228 c=5.3228 alpha=90.00 beta=90.00 gamma=90.00
Positions (direct):
1 Tl 0.0000 0.0000 0.0000
2 Zn 0.5000 0.5000 0.5000
3 Au 0.0000 0.0000 0.5000
4 Au 0.0000 0.5000 0.0000
5 Au 0.5000 0.0000 0.0000

Properties
As for the space group: Pm-3m.


Q | Material: TlZnAu3
Method: DFT, PBE-GGA
State: optimized geometry

Unit cell a=6.6484 b=6.6484 c=5.5872 alpha=90.00 beta=90.00 gamma=120.00
Positions (direct):
1 Tl 0.3333 0.6667 0.2500
2 Tl 0.6667 0.3333 0.7500
3 Zn 0.0000 0.0000 0.0000
4 Zn 0.0000 0.0000 0.5000
5 Au 0.1922 0.3844 0.7500
6 Au 0.1922 0.8078 0.7500
7 Au 0.3844 0.1922 0.2500
8 Au 0.6156 0.8078 0.7500
9 Au 0.8078 0.1922 0.2500
10 Au 0.8078 0.6156 0.2500

Properties
As for the space group: P6_3/mmc.


Result of the stability comparison: Q is the most stable of them.


P | Material: Tl3ZnAu
Method: DFT, PBE-GGA
State: optimized geometry

Unit cell a=5.5678 b=5.5678 c=5.5678 alpha=90.00 beta=90.00 gamma=90.00
Positions (direct):
1 Tl 0.0000 0.0000 0.5000
2 Tl 0.0000 0.5000 0.0000
3 Tl 0.5000 0.0000 0.0000
4 Zn 0.5000 0.5000 0.5000
5 Au 0.0000 0.0000 0.0000

Properties
As for the space group: Pm-3m.


Q | Material: Tl3ZnAu
Method: DFT, PBE-GGA
State: optimized geometry

Unit cell a=5.3057 b=5.3057 c=5.3057 alpha=90.00 beta=90.00 gamma=90.00
Positions (direct):
1 Tl 0.0000 0.0000 0.5000
2 Tl 0.0000 0.5000 0.0000
3 Tl 0.5000 0.0000 0.0000
4 Zn 0.0000 0.0000 0.0000
5 Au 0.5000 0.5000 0.5000

Properties
As for the space group: Pm-3m.


Result of the stability comparison: P is the most stable of them.


P | Material: TlZn2Au
Method: DFT, PBE-GGA
State: optimized geometry

Unit cell a=8.5687 b=8.5687 c=8.5687 alpha=22.78 beta=22.78 gamma=22.78
Positions (direct):
1 Tl 0.0000 0.0000 0.0000
2 Zn 0.2392 0.2392 0.2392
3 Zn 0.7608 0.7608 0.7608
4 Au 0.5000 0.5000 0.5000

Properties
As for the space group: R-3m.


Q | Material: TlZn2Au
Method: DFT, PBE-GGA
State: optimized geometry

Unit cell a=5.6121 b=5.6121 c=5.6121 alpha=146.77 beta=119.75 gamma=70.57
Positions (direct):
1 Tl 0.0000 0.0000 0.0000
2 Zn 0.2718 0.7718 0.5000
3 Zn 0.7282 0.2282 0.5000
4 Au 0.5000 0.5000 0.0000

Properties
As for the space group: Immm.


R | Material: TlZn2Au
Method: DFT, PBE-GGA
State: optimized geometry

Unit cell a=3.1857 b=3.4948 c=7.2472 alpha=90.00 beta=90.00 gamma=90.00
Positions (direct):
1 Tl 0.0000 0.0000 0.0000
2 Zn 0.5000 0.5000 0.3037
3 Zn 0.5000 0.5000 0.6963
4 Au 0.0000 0.0000 0.5000

Properties
As for the space group: Pmmm.


Result of the stability comparison: R is the most stable of them.


P | Material: Zr6TlAu
Method: DFT, PBE-GGA
State: optimized geometry

Unit cell a=4.4449 b=4.4449 c=8.8469 alpha=90.00 beta=90.00 gamma=90.00
Positions (direct):
1 Zr 0.0000 0.0000 0.0000
2 Zr 0.0000 0.0000 0.5000
3 Zr 0.0000 0.5000 0.2436
4 Zr 0.0000 0.5000 0.7564
5 Zr 0.5000 0.0000 0.2436
6 Zr 0.5000 0.0000 0.7564
7 Tl 0.5000 0.5000 0.5000
8 Au 0.5000 0.5000 0.0000

Properties
As for the space group: P4/mmm.


Q | Material: Zr6TlAu
Method: DFT, PBE-GGA
State: optimized geometry

Unit cell a=5.5891 b=5.5891 c=5.5891 alpha=90.00 beta=90.00 gamma=90.00
Positions (direct):
1 Zr 0.0000 0.2459 0.5000
2 Zr 0.0000 0.7541 0.5000
3 Zr 0.2459 0.5000 0.0000
4 Zr 0.5000 0.0000 0.2459
5 Zr 0.5000 0.0000 0.7541
6 Zr 0.7541 0.5000 0.0000
7 Tl 0.5000 0.5000 0.5000
8 Au 0.0000 0.0000 0.0000

Properties
As for the space group: Pm-3.


Result of the stability comparison: Q is the most stable of them.


P | Material: Tm3Au2
Method: DFT, PBE-GGA
State: optimized geometry

Unit cell a=8.0732 b=8.0732 c=3.7428 alpha=90.00 beta=90.00 gamma=90.00
Positions (direct):
1 Tm 0.0000 0.0000 0.0000
2 Tm 0.1612 0.3388 0.5000
3 Tm 0.3388 0.8388 0.5000
4 Tm 0.5000 0.5000 0.0000
5 Tm 0.6612 0.1612 0.5000
6 Tm 0.8388 0.6612 0.5000
7 Au 0.1359 0.6359 0.0000
8 Au 0.3641 0.1359 0.0000
9 Au 0.6359 0.8641 0.0000
10 Au 0.8641 0.3641 0.0000

Properties
As for the space group: P4/mbm.


Q | Material: Tm3Au2
Method: DFT, PBE-GGA
State: optimized geometry

Unit cell a=9.9751 b=9.9751 c=9.9751 alpha=159.57 beta=159.57 gamma=29.05
Positions (direct):
1 Tm 0.0000 0.0000 0.0000
2 Tm 0.1840 0.1840 0.0000
3 Tm 0.8160 0.8160 0.0000
4 Au 0.4073 0.4073 0.0000
5 Au 0.5927 0.5927 0.0000

Properties
As for the space group: I4/mmm.


Result of the stability comparison: P is the most stable of them.


P | Material: Tm4Au
Method: DFT, PBE-GGA
State: optimized geometry

Unit cell a=7.6386 b=6.9290 c=8.8730 alpha=56.21 beta=48.92 gamma=74.87
Positions (direct):
1 Tm 0.1275 0.2616 0.0063
2 Tm 0.2437 0.6455 0.1225
3 Tm 0.2616 0.1275 0.6045
4 Tm 0.3109 0.6891 0.4664
5 Tm 0.6455 0.2437 0.9884
6 Tm 0.6891 0.3109 0.5336
7 Tm 0.7164 0.7836 0.5609
8 Tm 0.7836 0.7164 0.9391
9 Au 0.1016 0.1016 0.3984
10 Au 0.8516 0.8516 0.1484

Properties
As for the space group: Fdd2.


Q | Material: Tm4Au
Method: DFT, PBE-GGA
State: optimized geometry

Unit cell a=5.4794 b=5.4794 c=5.4794 alpha=90.00 beta=90.00 gamma=90.00
Positions (direct):
1 Tm 0.0000 0.0000 0.0000
2 Tm 0.0000 0.5000 0.5000
3 Tm 0.5000 0.0000 0.5000
4 Tm 0.5000 0.5000 0.0000
5 Au 0.5000 0.5000 0.5000

Properties
As for the space group: Pm-3m.


Result of the stability comparison: P is the most stable of them.


P | Material: Tm2Zn2Au
Method: DFT, PBE-GGA
State: optimized geometry

Unit cell a=5.6131 b=5.6131 c=5.5078 alpha=119.29 beta=119.29 gamma=45.10
Positions (direct):
1 Tm 0.2047 0.2047 0.2046
2 Tm 0.7953 0.7953 0.7954
3 Zn 0.5000 0.5000 0.2260
4 Zn 0.5000 0.5000 0.7740
5 Au 0.0000 0.0000 0.5000

Properties
As for the space group: C2/m.


Q | Material: Tm2Zn2Au
Method: DFT, PBE-GGA
State: optimized geometry

Unit cell a=5.6537 b=5.6537 c=10.3255 alpha=112.73 beta=112.73 gamma=45.56
Positions (direct):
1 Tm 0.0195 0.0195 0.3367
2 Tm 0.1901 0.1901 0.1103
3 Tm 0.8099 0.8099 0.8897
4 Tm 0.9805 0.9805 0.6633
5 Zn 0.3659 0.3659 0.4388
6 Zn 0.4732 0.4732 0.1108
7 Zn 0.5268 0.5268 0.8892
8 Zn 0.6341 0.6341 0.5612
9 Au 0.2741 0.2741 0.6680
10 Au 0.7259 0.7259 0.3320

Properties
As for the space group: C2/m.


Result of the stability comparison: Q is the most stable of them.


P | Material: TmZn4Au8
Method: DFT, PBE-GGA
State: optimized geometry

Unit cell a=7.3778 b=7.3778 c=7.3778 alpha=57.17 beta=57.17 gamma=57.17
Positions (direct):
1 Tm 0.0000 0.0000 0.0000
2 Zn 0.0000 0.5000 0.5000
3 Zn 0.5000 0.0000 0.5000
4 Zn 0.5000 0.5000 0.0000
5 Zn 0.5000 0.5000 0.5000
6 Au 0.1552 0.7420 0.7420
7 Au 0.2496 0.2496 0.2496
8 Au 0.2580 0.2580 0.8448
9 Au 0.2580 0.8448 0.2580
10 Au 0.7420 0.1552 0.7420
11 Au 0.7420 0.7420 0.1552
12 Au 0.7504 0.7504 0.7504
13 Au 0.8448 0.2580 0.2580

Properties
As for the space group: R-3m.


Q | Material: TmZn4Au8
Method: DFT, PBE-GGA
State: optimized geometry

Unit cell a=7.0806 b=7.0806 c=7.0806 alpha=98.52 beta=98.52 gamma=134.72
Positions (direct):
1 Tm 0.0000 0.0000 0.0000
2 Zn 0.0000 0.0000 0.5000
3 Zn 0.0000 0.5000 0.0000
4 Zn 0.5000 0.0000 0.0000
5 Zn 0.5000 0.5000 0.5000
6 Au 0.0000 0.3270 0.3270
7 Au 0.0000 0.6730 0.6730
8 Au 0.2823 0.5000 0.7823
9 Au 0.3270 0.0000 0.3270
10 Au 0.5000 0.2823 0.7823
11 Au 0.5000 0.7177 0.2177
12 Au 0.6730 0.0000 0.6730
13 Au 0.7177 0.5000 0.2177

Properties
As for the space group: I4/mmm.


Result of the stability comparison: Q is the most stable of them.


P | Material: Tm4Zn3Au
Method: DFT, PBE-GGA
State: optimized geometry

Unit cell a=3.6796 b=4.4963 c=10.9795 alpha=90.00 beta=90.00 gamma=90.00
Positions (direct):
1 Tm 0.0000 0.0000 0.0000
2 Tm 0.0000 0.5000 0.2940
3 Tm 0.5000 0.0000 0.4969
4 Tm 0.5000 0.5000 0.7981
5 Zn 0.0000 0.0000 0.7201
6 Zn 0.0000 0.5000 0.5750
7 Zn 0.5000 0.5000 0.0685
8 Au 0.5000 0.0000 0.2247

Properties
As for the space group: Pmm2.


Q | Material: Tm4Zn3Au
Method: DFT, PBE-GGA
State: optimized geometry

Unit cell a=3.5428 b=3.5428 c=13.9924 alpha=90.00 beta=90.00 gamma=90.00
Positions (direct):
1 Tm 0.0000 0.0000 0.1246
2 Tm 0.0000 0.0000 0.3747
3 Tm 0.0000 0.0000 0.6253
4 Tm 0.0000 0.0000 0.8754
5 Zn 0.5000 0.5000 0.0000
6 Zn 0.5000 0.5000 0.2462
7 Zn 0.5000 0.5000 0.7538
8 Au 0.5000 0.5000 0.5000

Properties
As for the space group: P4/mmm.


Result of the stability comparison: Q is the most stable of them.


P | Material: TmZn2Au8
Method: DFT, PBE-GGA
State: optimized geometry

Unit cell a=7.6322 b=7.6322 c=6.8375 alpha=109.28 beta=109.28 gamma=32.00
Positions (direct):
1 Tm 0.0000 0.0000 0.0000
2 Zn 0.2786 0.2786 0.3428
3 Zn 0.7214 0.7214 0.6572
4 Au 0.1064 0.1064 0.4655
5 Au 0.1812 0.1812 0.9188
6 Au 0.3520 0.3520 0.7836
7 Au 0.4567 0.4567 0.2730
8 Au 0.5433 0.5433 0.7270
9 Au 0.6480 0.6480 0.2164
10 Au 0.8188 0.8188 0.0812
11 Au 0.8936 0.8936 0.5345

Properties
As for the space group: C2/m.


Q | Material: TmZn2Au8
Method: DFT, PBE-GGA
State: optimized geometry

Unit cell a=7.4296 b=7.4296 c=4.6232 alpha=103.17 beta=103.17 gamma=115.24
Positions (direct):
1 Tm 0.0000 0.0000 0.0000
2 Zn 0.3191 0.6809 0.5000
3 Zn 0.6809 0.3191 0.5000
4 Au 0.0738 0.3231 0.6185
5 Au 0.2288 0.7712 0.0000
6 Au 0.3231 0.0738 0.6185
7 Au 0.3909 0.3909 0.1721
8 Au 0.6091 0.6091 0.8279
9 Au 0.6769 0.9262 0.3815
10 Au 0.7712 0.2288 0.0000
11 Au 0.9262 0.6769 0.3815

Properties
As for the space group: C2/m.


Result of the stability comparison: P is the most stable of them.